No. 1
Entry from Alexandria: NaCa2Tl2Hg2 after structural relaxation (GGA-PBE).

Cell: 5.2918 5.2918 24.7607 Å, 90.00 90.00 120.00°
Space group R-3m (No. 166, hexagonal axes)
Inequivalent atoms, fractional coordinates:
Na1 0.0000 0.0000 0.0000 (multiplicity 3)
Ca1 0.0000 0.0000 0.1322 (multiplicity 6)
Tl1 0.0000 0.0000 0.2739 (multiplicity 6)
Hg1 0.0000 0.0000 0.4332 (multiplicity 6)

Results
DFT total energy = -1.718 eV/atom
total magnetic moment = 0.00 μB per formula unit
energy of formation = -1.4 eV/f.u.

***

No. 2
Entry from Alexandria: NaCaTmHg after structural relaxation (GGA-PBE).

Cell: 7.606 7.606 7.606 Å, 90.00 90.00 90.00°
Space group F-43m (No. 216)
Inequivalent atoms, fractional coordinates:
Na1 0.000 0.000 0.000 (multiplicity 4)
Ca1 0.250 0.250 0.750 (multiplicity 4)
Tm1 0.250 0.250 0.250 (multiplicity 4)
Hg1 0.000 0.000 0.500 (multiplicity 4)

Results
DFT total energy = -2.120 eV/atom
total magnetic moment = 0.00 μB per formula unit
energy of formation = -0.4 eV/f.u.

***

No. 3
Entry from Alexandria: NaCaTm2Hg4 after structural relaxation (GGA-PBE).

Cell: 5.1989 5.1989 25.5577 Å, 90.00 90.00 120.00°
Space group R-3m (No. 166, hexagonal axes)
Inequivalent atoms, fractional coordinates:
Na1 0.0000 0.0000 0.0000 (multiplicity 3)
Ca1 0.0000 0.0000 0.5000 (multiplicity 3)
Tm1 0.0000 0.0000 0.2520 (multiplicity 6)
Hg1 0.0000 0.0000 0.1241 (multiplicity 6)
Hg2 0.0000 0.0000 0.3744 (multiplicity 6)

Results
DFT total energy = -2.092 eV/atom
total magnetic moment = 0.00 μB per formula unit
energy of formation = -3.3 eV/f.u.

***

No. 4
Entry from Alexandria: NaCa2YHg after structural relaxation (GGA-PBE).

Cell: 5.914 5.914 5.459 Å, 90.00 90.00 90.00°
Space group P4/mmm (No. 123)
Inequivalent atoms, fractional coordinates:
Na1 0.000 0.000 0.000 (multiplicity 1)
Ca1 0.000 0.500 0.500 (multiplicity 2)
Y1 0.500 0.500 0.000 (multiplicity 1)
Hg1 0.000 0.000 0.500 (multiplicity 1)

Results
DFT total energy = -2.223 eV/atom
total magnetic moment = 0.00 μB per formula unit
energy of formation = 1.0 eV/f.u.